Entry 1:
Material: Rh3C
Method: DFT, GGA-PBE
State: optimized geometry

Cell: 5.544 7.631 4.810 Å, 90.00 90.00 90.00°
Space group Pnma (No. 62)
Unique sites:
Rh1 0.085 0.250 0.233
Rh2 0.149 0.072 0.733
C1 0.101 0.750 0.110

---

Entry 2:
Material: Rh7C5
Method: DFT, GGA-PBE
State: optimized geometry

Cell: 8.547 8.547 4.680 Å, 90.00 90.00 90.00°
Space group I4mm (No. 107)
Unique sites:
Rh1 0.000 0.000 0.000
Rh2 0.000 0.227 0.545
Rh3 0.000 0.500 0.299
C1 0.000 0.000 0.392
C2 0.219 0.219 0.403

---

Entry 3:
Material: Rh3C
Method: DFT, GGA-PBE
State: optimized geometry

Cell: 2.721 2.773 6.800 Å, 90.00 90.00 90.00°
Space group Pmm2 (No. 25)
Unique sites:
Rh1 0.000 0.000 0.000
Rh2 0.000 0.500 0.360
Rh3 0.500 0.500 0.713
C1 0.500 0.000 0.229

---

Entry 4:
Material: RhC4
Method: DFT, GGA-PBE
State: optimized geometry

Cell: 3.941 3.941 3.941 Å, 90.00 90.00 90.00°
Space group Pm-3m (No. 221)
Unique sites:
Rh1 0.000 0.000 0.000
C1 0.000 0.000 0.500
C2 0.500 0.500 0.500

Calculated values
**Excess energy over the best structure of this formula in the dataset**: 2.562 eV/atom

---

Entry 5:
Material: RhC
Method: DFT, GGA-PBE
State: optimized geometry

Cell: 2.740 10.230 3.100 Å, 90.00 90.00 90.00°
Space group Cmcm (No. 63)
Unique sites:
Rh1 0.000 0.124 0.250
C1 0.000 0.328 0.250

---

Entry 6:
Material: RhC
Method: DFT, GGA-PBE
State: optimized geometry

Cell: 5.593 5.593 3.300 Å, 90.00 90.00 90.00°
Space group P4_2/mnm (No. 136)
Unique sites:
Rh1 0.187 0.187 0.000
C1 0.174 0.826 0.000

---

Entry 7:
Material: RhC
Method: DFT, GGA-PBE
State: optimized geometry

Cell: 3.2863 3.2863 16.0802 Å, 90.00 90.00 120.00°
Space group R-3m (No. 166, hexagonal axes)
Unique sites:
Rh1 0.0000 0.0000 0.0961
C1 0.0000 0.0000 0.4074

---

Entry 8:
Material: RhC
Method: DFT, GGA-PBE
State: optimized geometry

Cell: 2.898 2.898 2.901 Å, 90.00 90.00 90.00°
Space group P4/mmm (No. 123)
Unique sites:
Rh1 0.000 0.000 0.000
C1 0.500 0.500 0.000

---

Entry 9:
Material: RhC
Method: DFT, GGA-PBE
State: optimized geometry

Cell: 3.299 3.299 4.280 Å, 90.00 90.00 90.00°
Space group P4/nmm (No. 129, origin choice 2)
Unique sites:
Rh1 0.250 0.250 0.228
C1 0.250 0.750 0.500

---

Entry 10:
Material: RhC
Method: DFT, GGA-PBE
State: optimized geometry

Cell: 2.5579 2.5579 21.3494 Å, 90.00 90.00 120.00°
Space group P6_3/mmc (No. 194)
Unique sites:
Rh1 0.3333 0.6667 0.0531
C1 0.0000 0.0000 0.2500
C2 0.3333 0.6667 0.7500

---

Entry 11:
Material: RhC
Method: DFT, GGA-PBE
State: optimized geometry

Cell: 6.297 6.297 6.297 Å, 90.00 90.00 90.00°
Space group I-43m (No. 217)
Unique sites:
Rh1 0.155 0.155 0.845
C1 0.168 0.168 0.168

---

Entry 12:
Material: RhC4
Method: DFT, GGA-PBE
State: optimized geometry

Cell: 5.271 5.271 4.515 Å, 90.00 90.00 90.00°
Space group I4/mmm (No. 139)
Unique sites:
Rh1 0.000 0.000 0.000
C1 0.000 0.376 0.000

Calculated values
**Excess energy over the best structure of this formula in the dataset**: 0.777 eV/atom

---

Number 1: total moment 0.0 Bohr magnetons per cell, ΔE_f 257.3 meV per atom. Number 2: total moment 0.0 Bohr magnetons per cell, ΔE_f 1566.7 meV per atom. Number 3: total moment 0.0 Bohr magnetons per cell, ΔE_f 438.4 meV per atom. Number 4: total moment 0.6 Bohr magnetons per cell, ΔE_f 3495.4 meV per atom. Number 5: total moment 0.0 Bohr magnetons per cell, ΔE_f 1017.0 meV per atom. Number 6: total moment 0.0 Bohr magnetons per cell, ΔE_f 775.1 meV per atom. Number 7: total moment 0.0 Bohr magnetons per cell, ΔE_f 928.4 meV per atom. Number 8: total moment 0.0 Bohr magnetons per cell, ΔE_f 1169.4 meV per atom. Number 9: total moment 0.0 Bohr magnetons per cell, ΔE_f 1005.7 meV per atom. Number 10: total moment 0.0 Bohr magnetons per cell, ΔE_f 463.5 meV per atom. Number 11: total moment 0.0 Bohr magnetons per cell, ΔE_f 870.2 meV per atom. Number 12: total moment 1.1 Bohr magnetons per cell, ΔE_f 1710.6 meV per atom.